Entry 1:
A plane-wave DFT calculation with PBE was carried out for Sr3Ag3Sn2 after structural relaxation.

Lattice parameters (Å, degrees): 6.3635 9.0121 16.6051 90.00 90.00 90.00
With the nearest neighbours (Å) after each atom.
Atoms (fractional coordinates):
Sr 0.1366 0.4573 0.3955  7 Ag 3.38-3.77, 3 Sn 3.40-3.57
Sr 0.6366 0.0427 0.6045  7 Ag 3.38-3.77, 3 Sn 3.40-3.57
Sr 0.8634 0.5427 0.8955  7 Ag 3.38-3.77, 3 Sn 3.40-3.57
Sr 0.3634 0.9573 0.1045  7 Ag 3.38-3.77, 3 Sn 3.40-3.57
Sr 0.8634 0.5427 0.6045  7 Ag 3.38-3.77, 3 Sn 3.40-3.57
Sr 0.3634 0.9573 0.3955  7 Ag 3.38-3.77, 3 Sn 3.40-3.57
Sr 0.1366 0.4573 0.1045  7 Ag 3.38-3.77, 3 Sn 3.40-3.57
Sr 0.6366 0.0427 0.8955  7 Ag 3.38-3.77, 3 Sn 3.40-3.57
Sr 0.6290 0.3280 0.2500  5 Ag 3.38-3.57, 4 Sn 3.50
Sr 0.1290 0.1720 0.7500  5 Ag 3.38-3.57, 4 Sn 3.50
Sr 0.3710 0.6720 0.7500  5 Ag 3.38-3.57, 4 Sn 3.50
Sr 0.8710 0.8280 0.2500  5 Ag 3.38-3.57, 4 Sn 3.50
Ag 0.1177 0.1807 0.2500  2 Sn 2.95
Ag 0.6177 0.3193 0.7500  2 Sn 2.95
Ag 0.8823 0.8193 0.7500  2 Sn 2.95
Ag 0.3823 0.6807 0.2500  2 Sn 2.95
Ag 0.6124 0.3149 0.4647  3 Sn 2.75-2.88
Ag 0.1124 0.1851 0.5353  3 Sn 2.75-2.88
Ag 0.3876 0.6851 0.9647  3 Sn 2.75-2.88
Ag 0.8876 0.8149 0.0353  3 Sn 2.75-2.88
Ag 0.3876 0.6851 0.5353  3 Sn 2.75-2.88
Ag 0.8876 0.8149 0.4647  3 Sn 2.75-2.88
Ag 0.6124 0.3149 0.0353  3 Sn 2.75-2.88
Ag 0.1124 0.1851 0.9647  3 Sn 2.75-2.88
Sn 0.8736 0.1076 0.3959  4 Ag 2.75-2.95
Sn 0.3736 0.3924 0.6041  4 Ag 2.75-2.95
Sn 0.1264 0.8924 0.8959  4 Ag 2.75-2.95
Sn 0.6264 0.6076 0.1041  4 Ag 2.75-2.95
Sn 0.1264 0.8924 0.6041  4 Ag 2.75-2.95
Sn 0.6264 0.6076 0.3959  4 Ag 2.75-2.95
Sn 0.8736 0.1076 0.1041  4 Ag 2.75-2.95
Sn 0.3736 0.3924 0.8959  4 Ag 2.75-2.95

Summary:
* uncorrected energy: -99.7 eV for the cell shown
* SG: Pnma, No. 62
* formation energy from the elements: -3.31 eV/f.u.

=====

Entry 2:
A plane-wave DFT calculation with PBE was carried out for BaTcMo2 after structural relaxation.

Lattice parameters (Å, degrees): 5.8241 5.8241 2.8294 90.00 90.00 124.72
With the nearest neighbours (Å) after each atom.
Atoms (fractional coordinates):
Ba 0.0000 0.5000 0.5000  2 Tc 2.70, 2 Ba 2.83
Mo 0.0000 0.0000 0.0000  4 Mo 2.70-2.83
Mo 0.5000 0.5000 0.0000  4 Mo 2.70-2.83
Tc 0.5000 0.0000 0.5000  2 Ba 2.70, 2 Tc 2.83

Summary:
* uncorrected energy: -28.4 eV for the cell shown
* SG: Cmmm, No. 65
* formation energy from the elements: 5.57 eV/f.u.
* energy above the lowest structure with this stoichiometry: 699 meV/atom

=====

Entry 3:
A plane-wave DFT calculation with PBE was carried out for Pr2Dy3Ho7 after structural relaxation.

Lattice parameters (Å, degrees): 3.6079 5.6797 19.1407 98.53 90.00 90.00
With the nearest neighbours (Å) after each atom.
Atoms (fractional coordinates):
Pr 0.0000 0.8531 0.7061  3 Ho 3.16-3.41
Pr 0.0000 0.1469 0.2939  3 Ho 3.16-3.41
Dy 0.5000 0.5000 0.0000  4 Ho 3.36, 2 Dy 3.61
Dy 0.5000 0.6864 0.3728  2 Dy 3.61, 6 Ho 3.63-3.76, 4 Pr 3.68
Dy 0.5000 0.3136 0.6272  2 Dy 3.61, 6 Ho 3.63-3.76, 4 Pr 3.68
Ho 0.0000 0.4113 0.8225  6 Ho 3.44-3.61, 2 Pr 3.59, 2 Dy 3.81
Ho 0.0000 0.7695 0.5390  1 Pr 3.16, 2 Ho 3.20
Ho 0.0000 0.0000 0.0000  4 Ho 3.22, 4 Dy 3.36
Ho 0.0000 0.5887 0.1775  6 Ho 3.44-3.61, 2 Pr 3.59, 2 Dy 3.81
Ho 0.5000 0.0704 0.1408  6 Ho 3.22-3.44, 2 Pr 3.41
Ho 0.5000 0.9296 0.8592  6 Ho 3.22-3.44, 2 Pr 3.41
Ho 0.0000 0.2305 0.4610  1 Pr 3.16, 2 Ho 3.20

Summary:
* uncorrected energy: -54.0 eV for the cell shown
* SG: Cmmm, No. 65
* formation energy from the elements: 1.37 eV/f.u.
* energy above the lowest structure with this stoichiometry: 33 meV/atom